Entry 1:
# Y2FePb, optimized geometry, DFT PBE-GGA
data_Y2FePb
_chemical_formula_sum 'Y2 Fe1 Pb1'
_space_group_name_H-M_alt 'P m m 2'
_space_group_IT_number 25
_cell_length_a 3.630
_cell_length_b 4.556
_cell_length_c 6.365
_cell_angle_alpha 90.00
_cell_angle_beta 90.00
_cell_angle_gamma 90.00
loop_
_space_group_symop_operation_xyz
'x,y,z'
'-x,-y,z'
'-x,y,z'
'x,-y,z'
loop_
_atom_site_label
_atom_site_type_symbol
_atom_site_fract_x
_atom_site_fract_y
_atom_site_fract_z
Y1 Y 0.000 0.000 0.000
Y2 Y 0.500 0.500 0.319
Fe1 Fe 0.000 0.000 0.466
Pb1 Pb 0.500 0.500 0.793
# Energy of formation from the pure elements in eV per atom: 0.127
# Electronic total energy in eV for the cell shown: -24.59
# Density in Mg/m³: 6.96

---

Entry 2:
# La12CdNi6, optimized geometry, DFT PBE-GGA
data_La12CdNi6
_chemical_formula_sum 'La24 Cd2 Ni12'
_space_group_name_H-M_alt 'I m -3'
_space_group_IT_number 204
_space_group_name_Hall '-I 2 2 3'
_cell_length_a 10.232
_cell_length_b 10.232
_cell_length_c 10.232
_cell_angle_alpha 90.00
_cell_angle_beta 90.00
_cell_angle_gamma 90.00
loop_
_atom_site_label
_atom_site_type_symbol
_atom_site_fract_x
_atom_site_fract_y
_atom_site_fract_z
La1 La 0.000 0.310 0.183
Cd1 Cd 0.000 0.000 0.000
Ni1 Ni 0.000 0.125 0.500
# Energy of formation from the pure elements in eV per atom: -0.277
# Electronic total energy in eV for the cell shown: -200.00
# Density in Mg/m³: 6.61